VNiGe | the Alexandria database | meta-GGA SCAN | single point on PBEsol structure; formation energy from the elements = -9.6 kcal/mol of atoms
1.0
-1.690 -0.586 -3.126
4.604 -3.363 -1.859
-3.055 -5.685 2.719
Ni Ge V
4 4 4
direct
0.750 0.853 0.442 Ni
0.250 0.147 0.558 Ni
0.250 0.647 0.942 Ni
0.750 0.353 0.058 Ni
0.250 0.265 0.870 Ge
0.750 0.735 0.130 Ge
0.250 0.765 0.630 Ge
0.750 0.235 0.370 Ge
0.250 0.029 0.169 V
0.750 0.971 0.831 V
0.750 0.471 0.669 V
0.250 0.529 0.331 V

AlFeOs2 | the Alexandria database | meta-GGA SCAN | single point on PBEsol structure; formation energy from the elements = -3.2 kcal/mol of atoms
1.0
2.730 0.000 0.000
0.000 3.770 0.000
0.000 0.000 5.146
Os Fe Al
2 1 1
direct
0.500 0.500 0.244 Os
0.000 0.000 0.003 Os
0.500 0.500 0.742 Fe
0.000 0.000 0.511 Al

TaRe | the Alexandria database | meta-GGA SCAN | single point on PBEsol structure; formation energy from the elements = 14.5 kcal/mol of atoms
1.0
-2.668 0.323 -0.715
0.676 -1.632 2.147
-0.705 7.795 6.145
Ta Re
2 2
direct
0.667 0.333 0.683 Ta
0.333 0.667 0.183 Ta
0.667 0.333 0.946 Re
0.333 0.667 0.446 Re

ErTmCu2 | the Alexandria database | meta-GGA SCAN | single point on PBEsol structure; formation energy from the elements = -7.9 kcal/mol of atoms
1.0
-2.248 2.064 -3.648
-4.464 1.554 0.529
-0.897 4.670 0.095
Tm Cu Er
1 2 1
direct
0.000 0.000 0.000 Tm
0.750 0.750 0.750 Cu
0.250 0.250 0.250 Cu
0.500 0.500 0.500 Er

Pr2CdAu2 | the Alexandria database | meta-GGA SCAN | single point on PBEsol structure; formation energy from the elements = -20.8 kcal/mol of atoms
1.0
3.874 0.000 0.000
0.000 7.995 0.000
0.000 0.000 7.995
Au Cd Pr
4 2 4
direct
0.000 0.627 0.127 Au
0.000 0.873 0.627 Au
0.000 0.373 0.873 Au
0.000 0.127 0.373 Au
0.000 0.500 0.500 Cd
0.000 0.000 0.000 Cd
0.500 0.173 0.673 Pr
0.500 0.827 0.327 Pr
0.500 0.673 0.827 Pr
0.500 0.327 0.173 Pr

As2OsIBr | the Alexandria database | meta-GGA SCAN | single point on PBEsol structure; electronic total energy = -33.19 eV/atom
1.0
4.773 0.000 0.000
0.000 4.773 0.000
0.000 0.000 5.149
As I Br Os
2 1 1 1
direct
0.000 0.500 0.000 As
0.500 0.000 0.000 As
0.500 0.500 0.500 I
0.000 0.000 0.500 Br
0.000 0.000 0.000 Os